# LuBeNiBi PBE relaxed
data_LuBeNiBi
_cell_length_a 4.728
_cell_length_b 4.728
_cell_length_c 4.728
_cell_angle_alpha 60.00
_cell_angle_beta 60.00
_cell_angle_gamma 60.00
_space_group_name_H-M_alt 'P 1'
_space_group_IT_number 1
loop_
_space_group_symop_operation_xyz
'x,y,z'
loop_
_atom_site_label
_atom_site_type_symbol
_atom_site_fract_x
_atom_site_fract_y
_atom_site_fract_z
Be1 Be 0.500 0.500 0.500
Bi1 Bi 0.000 0.000 0.000
Lu1 Lu 0.250 0.250 0.250
Ni1 Ni 0.750 0.750 0.750
# space-group type	No. 216
# electronic total energy	-4.26	eV per atom
# excess energy over the best structure of this formula in the dataset	168	meV/atom